No. 1
A geometry-optimized Ti5Sb3H structure, computed with PBE.

a = 8.0077 Å, b = 8.0077 Å, c = 5.4258 Å
α = 90.00°, β = 90.00°, γ = 120.00°
Element x y z (fractional)
Ti  0.0000  0.2293  0.2500
Ti  0.0000  0.7707  0.7500
Ti  0.2293  0.0000  0.2500
Ti  0.2293  0.2293  0.7500
Ti  0.3333  0.6667  0.0000
Ti  0.3333  0.6667  0.5000
Ti  0.6667  0.3333  0.0000
Ti  0.6667  0.3333  0.5000
Ti  0.7707  0.0000  0.7500
Ti  0.7707  0.7707  0.2500
Sb  0.0000  0.3938  0.7500
Sb  0.0000  0.6062  0.2500
Sb  0.3938  0.0000  0.7500
Sb  0.3938  0.3938  0.2500
Sb  0.6062  0.0000  0.2500
Sb  0.6062  0.6062  0.7500
H  0.0000  0.0000  0.0000
H  0.0000  0.0000  0.5000

Magnetization = 0.0594 μB/atom
DFT total energy = -118.8 eV/cell
N(E_F) = 19.6 states/eV/cell

=====

No. 2
A geometry-optimized Ti3SbH structure, computed with PBE.

a = 5.2990 Å, b = 5.2990 Å, c = 5.2990 Å
α = 86.56°, β = 86.56°, γ = 86.56°
Element x y z (fractional)
Ti  0.0028  0.2500  0.4972
Ti  0.2500  0.4972  0.0028
Ti  0.4972  0.0028  0.2500
Ti  0.5028  0.9972  0.7500
Ti  0.7500  0.5028  0.9972
Ti  0.9972  0.7500  0.5028
Sb  0.0000  0.0000  0.0000
Sb  0.5000  0.5000  0.5000
H  0.2500  0.2500  0.2500
H  0.7500  0.7500  0.7500

Magnetization = 0.0000 μB/atom
DFT total energy = -65.6 eV/cell
E above lowest polymorph = 141 meV per atom
N(E_F) = 15.6 states/eV/cell

=====

No. 3
A geometry-optimized Ti3SbH structure, computed with PBE.

a = 3.1861 Å, b = 3.1861 Å, c = 17.8482 Å
α = 90.00°, β = 90.00°, γ = 120.00°
Element x y z (fractional)
Ti  0.0000  0.0000  0.2500
Ti  0.0000  0.0000  0.7500
Ti  0.3333  0.6667  0.1276
Ti  0.3333  0.6667  0.3724
Ti  0.6667  0.3333  0.6276
Ti  0.6667  0.3333  0.8724
Sb  0.0000  0.0000  0.0000
Sb  0.0000  0.0000  0.5000
H  0.3333  0.6667  0.2500
H  0.6667  0.3333  0.7500

Magnetization = 0.0000 μB/atom
DFT total energy = -63.2 eV/cell
E above lowest polymorph = 376 meV per atom
N(E_F) = 11.6 states/eV/cell

=====

No. 4
A geometry-optimized TiSbH3 structure, computed with PBE.

a = 3.6838 Å, b = 3.6838 Å, c = 3.6838 Å
α = 90.00°, β = 90.00°, γ = 90.00°
Element x y z (fractional)
Ti  0.0000  0.0000  0.0000
Sb  0.5000  0.5000  0.5000
H  0.0000  0.0000  0.5000
H  0.0000  0.5000  0.0000
H  0.5000  0.0000  0.0000

Magnetization = 0.0000 μB/atom
DFT total energy = -21.6 eV/cell
E above lowest polymorph = 0 meV per atom
N(E_F) = 1.6 states/eV/cell

=====

No. 5
A geometry-optimized Ti3SbH structure, computed with PBE.

a = 6.9888 Å, b = 6.9888 Å, c = 6.9888 Å
α = 136.15°, β = 136.15°, γ = 63.74°
Element x y z (fractional)
Ti  0.1900  0.1900  0.0000
Ti  0.3615  0.6214  0.7401
Ti  0.3786  0.1187  0.7401
Ti  0.3786  0.6385  0.2599
Ti  0.8100  0.8100  0.0000
Ti  0.8813  0.6214  0.2599
Sb  0.6004  0.1004  0.5000
Sb  0.8996  0.3996  0.5000
H  0.2500  0.7500  0.5000
H  0.5000  0.5000  0.0000

Magnetization = 0.0000 μB/atom
DFT total energy = -63.3 eV/cell
E above lowest polymorph = 367 meV per atom
N(E_F) = 4.0 states/eV/cell

=====

No. 6
A geometry-optimized Ti3SbH structure, computed with PBE.

a = 7.5874 Å, b = 7.5874 Å, c = 5.3815 Å
α = 94.39°, β = 94.39°, γ = 98.84°
Element x y z (fractional)
Ti  0.0568  0.1965  0.6098
Ti  0.0733  0.6981  0.8923
Ti  0.1931  0.5493  0.4685
Ti  0.1965  0.0568  0.1098
Ti  0.3019  0.9267  0.6077
Ti  0.4507  0.8069  0.0315
Ti  0.5493  0.1931  0.9685
Ti  0.6981  0.0733  0.3923
Ti  0.8035  0.9432  0.8902
Ti  0.8069  0.4507  0.5315
Ti  0.9267  0.3019  0.1077
Ti  0.9432  0.8035  0.3902
Sb  0.2733  0.4310  0.9827
Sb  0.4310  0.2733  0.4827
Sb  0.5690  0.7267  0.5173
Sb  0.7267  0.5690  0.0173
H  0.0605  0.9395  0.7500
H  0.1863  0.8137  0.2500
H  0.8137  0.1863  0.7500
H  0.9395  0.0605  0.2500

Magnetization = 0.0000 μB/atom
DFT total energy = -131.0 eV/cell
E above lowest polymorph = 150 meV per atom
N(E_F) = 25.6 states/eV/cell